No. 1
Density functional theory data (PBE) for a relaxed SnSCl2F crystal. Values from VASP.

Values from the calculation:
theoretical density: 3.0 g/cm³
raw total energy: -14.53 eV per cell

```
&SYSTEM
  ibrav = 0, nat = 5, ntyp = 4
/
ATOMIC_SPECIES
S 32.06 S.upf
Cl 35.45 Cl.upf
F 19.00 F.upf
Sn 118.71 Sn.upf
ATOMIC_POSITIONS crystal
S 0.000 0.000 0.500
Cl 0.500 0.000 0.000
Cl 0.000 0.500 0.000
F 0.500 0.500 0.500
Sn 0.000 0.000 0.000
CELL_PARAMETERS angstrom
-0.554 -3.703 3.399
-0.639 -3.340 -3.742
5.060 -0.852 -0.104
```

=====

No. 2
Density functional theory data (PBE) for a relaxed RbGaC2 crystal. Values from VASP.

Values from the calculation:
theoretical density: 4.0 g/cm³
ΔE_f: 1551.2 meV/atom
raw total energy: -32.47 eV per cell

```
&SYSTEM
  ibrav = 0, nat = 8, ntyp = 3
/
ATOMIC_SPECIES
C 12.01 C.upf
Rb 85.47 Rb.upf
Ga 69.72 Ga.upf
ATOMIC_POSITIONS crystal
C 0.875 0.625 0.750
C 0.375 0.625 0.250
C 0.375 0.125 0.250
C 0.375 0.625 0.750
Rb 0.000 0.000 0.000
Rb 0.750 0.250 0.500
Ga 0.500 0.500 0.000
Ga 0.250 0.750 0.500
CELL_PARAMETERS angstrom
-2.583 -0.923 3.927
3.967 -1.426 2.274
1.673 4.835 5.158
```

=====

No. 3
Density functional theory data (PBE) for a relaxed ZrB2Te crystal. Values from VASP.

Values from the calculation:
theoretical density: 6.0 g/cm³
raw total energy: -44.74 eV per cell

```
&SYSTEM
  ibrav = 0, nat = 8, ntyp = 3
/
ATOMIC_SPECIES
Te 127.60 Te.upf
B 10.81 B.upf
Zr 91.22 Zr.upf
ATOMIC_POSITIONS crystal
Te 0.750 0.250 0.500
Te 0.000 0.000 0.000
B 0.097 0.625 0.250
B 0.653 0.125 0.250
B 0.375 0.347 0.750
B 0.875 0.903 0.750
Zr 0.500 0.500 0.000
Zr 0.250 0.750 0.500
CELL_PARAMETERS angstrom
6.083 0.000 0.000
0.000 6.083 0.000
3.042 3.042 3.577
```

=====

No. 4
Density functional theory data (PBE) for a relaxed BeCdGa2 crystal. Values from VASP.

Values from the calculation:
theoretical density: 5.9 g/cm³
ΔE_f: 402.7 meV/atom
raw total energy: -9.08 eV per cell

```
&SYSTEM
  ibrav = 0, nat = 4, ntyp = 3
/
ATOMIC_SPECIES
Be 9.01 Be.upf
Ga 69.72 Ga.upf
Cd 112.41 Cd.upf
ATOMIC_POSITIONS crystal
Be 0.000 0.000 0.000
Ga 0.924 0.924 0.227
Ga 0.076 0.076 0.773
Cd 0.500 0.500 0.500
CELL_PARAMETERS angstrom
2.879 0.000 0.000
1.439 2.493 0.000
1.439 0.831 10.282
```

=====

No. 5
Density functional theory data (PBE) for a relaxed Fe4H crystal. Values from VASP.

Values from the calculation:
theoretical density: 7.5 g/cm³
raw total energy: -36.69 eV per cell

```
&SYSTEM
  ibrav = 0, nat = 5, ntyp = 2
/
ATOMIC_SPECIES
Fe 55.84 Fe.upf
H 1.01 H.upf
ATOMIC_POSITIONS crystal
Fe 0.000 0.500 0.500
Fe 0.500 0.000 0.500
Fe 0.500 0.500 0.000
Fe 0.000 0.000 0.000
H 0.500 0.500 0.500
CELL_PARAMETERS angstrom
-0.490 1.053 3.486
1.933 -2.906 1.149
3.086 1.988 -0.166
```

=====

No. 6
Density functional theory data (PBE) for a relaxed TaAuSe2 crystal. Values from VASP.

Values from the calculation:
theoretical density: 10.2 g/cm³
raw total energy: -22.42 eV per cell

```
&SYSTEM
  ibrav = 0, nat = 4, ntyp = 3
/
ATOMIC_SPECIES
Au 196.97 Au.upf
Ta 180.95 Ta.upf
Se 78.96 Se.upf
ATOMIC_POSITIONS crystal
Au 0.500 0.750 0.751
Ta 0.000 0.475 0.524
Se 0.500 0.160 0.337
Se 0.000 0.115 0.888
CELL_PARAMETERS angstrom
3.473 0.000 0.000
0.000 3.463 0.054
0.000 3.312 7.322
```

=====

No. 7
Density functional theory data (PBE) for a relaxed La2BiSe crystal. Values from VASP.

Values from the calculation:
theoretical density: 7.9 g/cm³
raw total energy: -22.22 eV per cell

```
&SYSTEM
  ibrav = 0, nat = 4, ntyp = 3
/
ATOMIC_SPECIES
La 138.91 La.upf
Bi 208.98 Bi.upf
Se 78.96 Se.upf
ATOMIC_POSITIONS crystal
La 0.750 0.750 0.750
La 0.250 0.250 0.250
Bi 0.500 0.500 0.500
Se 0.000 0.000 0.000
CELL_PARAMETERS angstrom
0.000 3.897 3.897
3.897 0.000 3.897
3.897 3.897 0.000
```

=====

No. 8
Density functional theory data (PBE) for a relaxed Ag4OF3 crystal. Values from VASP.

Values from the calculation:
theoretical density: 6.7 g/cm³
raw total energy: -27.43 eV per cell

```
&SYSTEM
  ibrav = 0, nat = 8, ntyp = 3
/
ATOMIC_SPECIES
F 19.00 F.upf
Ag 107.87 Ag.upf
O 16.00 O.upf
ATOMIC_POSITIONS crystal
F 0.750 0.250 0.501
F 0.250 0.750 0.499
F 0.500 0.500 0.000
Ag 0.209 0.209 0.418
Ag 0.500 0.000 0.000
Ag 0.000 0.500 0.000
Ag 0.791 0.791 0.582
O 0.000 0.000 0.000
CELL_PARAMETERS angstrom
4.329 0.005 -1.919
-0.853 4.242 -1.918
0.281 0.344 6.478
```

=====

No. 9
Density functional theory data (PBE) for a relaxed Ta2VTe crystal. Values from VASP.

Values from the calculation:
theoretical density: 11.3 g/cm³
raw total energy: -67.47 eV per cell

```
&SYSTEM
  ibrav = 0, nat = 8, ntyp = 3
/
ATOMIC_SPECIES
V 50.94 V.upf
Te 127.60 Te.upf
Ta 180.95 Ta.upf
ATOMIC_POSITIONS crystal
V 0.250 0.750 0.500
V 0.500 0.500 0.000
Te 0.000 0.000 0.000
Te 0.750 0.250 0.500
Ta 0.375 0.376 0.750
Ta 0.126 0.625 0.250
Ta 0.624 0.125 0.250
Ta 0.875 0.874 0.750
CELL_PARAMETERS angstrom
-0.192 0.786 -3.904
1.595 -3.567 -0.796
-8.426 -5.392 -2.708
```

=====

No. 10
Density functional theory data (PBE) for a relaxed Li2MgRe crystal. Values from VASP.

Values from the calculation:
theoretical density: 5.7 g/cm³
ΔE_f: 231.9 meV/atom
raw total energy: -16.94 eV per cell

```
&SYSTEM
  ibrav = 0, nat = 4, ntyp = 3
/
ATOMIC_SPECIES
Mg 24.30 Mg.upf
Re 186.21 Re.upf
Li 6.94 Li.upf
ATOMIC_POSITIONS crystal
Mg 0.500 0.500 0.250
Re 0.500 0.500 0.750
Li 0.000 0.000 0.520
Li 0.000 0.000 0.980
CELL_PARAMETERS angstrom
2.666 -0.014 0.000
-0.878 2.518 0.000
0.000 0.000 9.705
```

=====

No. 11
Density functional theory data (PBE) for a relaxed CePr2DyPt2 crystal. Values from VASP.

Values from the calculation:
theoretical density: 9.6 g/cm³
ΔE_f: -758.8 meV/atom
raw total energy: -73.46 eV per cell

```
&SYSTEM
  ibrav = 0, nat = 12, ntyp = 4
/
ATOMIC_SPECIES
Ce 140.12 Ce.upf
Pt 195.08 Pt.upf
Pr 140.91 Pr.upf
Dy 162.50 Dy.upf
ATOMIC_POSITIONS crystal
Ce 0.750 0.000 0.000
Ce 0.250 0.000 0.000
Pt 0.609 0.356 0.219
Pt 0.109 0.863 0.219
Pt 0.891 0.137 0.781
Pt 0.391 0.644 0.781
Pr 0.691 0.956 0.381
Pr 0.191 0.426 0.381
Pr 0.309 0.044 0.619
Pr 0.809 0.574 0.619
Dy 0.750 0.500 0.000
Dy 0.250 0.500 0.000
CELL_PARAMETERS angstrom
-2.032 6.386 -1.473
-6.573 -1.896 0.847
4.697 -0.525 7.226
```

=====

No. 12
Density functional theory data (PBE) for a relaxed CuHgSe2 crystal. Values from VASP.

Values from the calculation:
theoretical density: 7.5 g/cm³
raw total energy: -10.11 eV per cell

```
&SYSTEM
  ibrav = 0, nat = 4, ntyp = 3
/
ATOMIC_SPECIES
Cu 63.55 Cu.upf
Se 78.96 Se.upf
Hg 200.59 Hg.upf
ATOMIC_POSITIONS crystal
Cu 0.500 0.000 0.500
Se 0.000 0.000 0.000
Se 0.500 0.500 0.000
Hg 0.000 0.500 0.500
CELL_PARAMETERS angstrom
3.851 0.000 0.000
0.000 3.648 0.000
0.000 0.000 6.669
```